Entry 1:
Compound: SiBiSe2
Source: Alexandria via LeMat-Bulk
Functional: PBE
Structure: optimized geometry

Lattice parameters (Å, degrees): 6.378 6.378 6.378 108.41 108.41 111.62
Fractional positions:
Si: 0.000 0.000 0.000
Si: 0.750 0.250 0.500
Bi: 0.250 0.750 0.500
Bi: 0.500 0.500 0.000
Se: 0.084 0.625 0.959
Se: 0.375 0.334 0.459
Se: 0.666 0.125 0.041
Se: 0.875 0.916 0.541

V = 24.95 Å³/atom
energy above the lowest structure with this stoichiometry = 21.4 kJ/mol of atoms
E = -31.9 eV per cell
symmetry = I-42d, No. 122
energy relative to the elements, uncorrected = 86 meV/atom

=====

Entry 2:
Compound: Si5Bi3Se12
Source: Alexandria via LeMat-Bulk
Functional: PBE
Structure: optimized geometry

Lattice parameters (Å, degrees): 13.922 13.922 13.922 109.47 109.47 109.47
Fractional positions:
Si: 0.000 0.000 0.000
Si: 0.000 0.000 0.500
Si: 0.000 0.500 0.000
Si: 0.000 0.500 0.500
Si: 0.125 0.750 0.875
Si: 0.125 0.875 0.250
Si: 0.250 0.125 0.875
Si: 0.250 0.625 0.375
Si: 0.375 0.250 0.625
Si: 0.375 0.625 0.750
Si: 0.500 0.000 0.000
Si: 0.500 0.000 0.500
Si: 0.500 0.500 0.000
Si: 0.500 0.500 0.500
Si: 0.625 0.375 0.250
Si: 0.625 0.750 0.375
Si: 0.750 0.375 0.625
Si: 0.750 0.875 0.125
Si: 0.875 0.125 0.750
Si: 0.875 0.250 0.125
Bi: 0.125 0.250 0.375
Bi: 0.125 0.375 0.750
Bi: 0.250 0.375 0.125
Bi: 0.250 0.875 0.625
Bi: 0.375 0.125 0.250
Bi: 0.375 0.750 0.125
Bi: 0.625 0.250 0.875
Bi: 0.625 0.875 0.750
Bi: 0.750 0.125 0.375
Bi: 0.750 0.625 0.875
Bi: 0.875 0.625 0.250
Bi: 0.875 0.750 0.625
Se: 0.024 0.210 0.120
Se: 0.024 0.314 0.904
Se: 0.090 0.710 0.686
Se: 0.090 0.880 0.404
Se: 0.096 0.620 0.410
Se: 0.096 0.976 0.686
Se: 0.120 0.024 0.210
Se: 0.120 0.596 0.910
Se: 0.186 0.210 0.590
Se: 0.186 0.476 0.596
Se: 0.210 0.120 0.024
Se: 0.210 0.590 0.186
Se: 0.290 0.314 0.910
Se: 0.290 0.476 0.380
Se: 0.314 0.904 0.024
Se: 0.314 0.910 0.290
Se: 0.380 0.290 0.476
Se: 0.380 0.590 0.904
Se: 0.404 0.090 0.880
Se: 0.404 0.814 0.524
Se: 0.410 0.096 0.620
Se: 0.410 0.814 0.790
Se: 0.476 0.380 0.290
Se: 0.476 0.596 0.186
Se: 0.524 0.404 0.814
Se: 0.524 0.620 0.710
Se: 0.590 0.186 0.210
Se: 0.590 0.904 0.380
Se: 0.596 0.186 0.476
Se: 0.596 0.910 0.120
Se: 0.620 0.410 0.096
Se: 0.620 0.710 0.524
Se: 0.686 0.090 0.710
Se: 0.686 0.096 0.976
Se: 0.710 0.524 0.620
Se: 0.710 0.686 0.090
Se: 0.790 0.410 0.814
Se: 0.790 0.880 0.976
Se: 0.814 0.524 0.404
Se: 0.814 0.790 0.410
Se: 0.880 0.404 0.090
Se: 0.880 0.976 0.790
Se: 0.904 0.024 0.314
Se: 0.904 0.380 0.590
Se: 0.910 0.120 0.596
Se: 0.910 0.290 0.314
Se: 0.976 0.686 0.096
Se: 0.976 0.790 0.880

V = 25.97 Å³/atom
E = -337.7 eV per cell
symmetry = Ia-3d, No. 230
energy relative to the elements, uncorrected = -193 meV/atom

=====

Entry 3:
Compound: Sm6Si2BiSe3
Source: Alexandria via LeMat-Bulk
Functional: PBE
Structure: optimized geometry

Lattice parameters (Å, degrees): 9.532 9.532 8.581 102.48 102.48 25.84
Fractional positions:
Sm: 0.006 0.006 0.265
Sm: 0.328 0.328 0.898
Sm: 0.330 0.330 0.423
Sm: 0.670 0.670 0.577
Sm: 0.672 0.672 0.102
Sm: 0.994 0.994 0.735
Si: 0.168 0.168 0.336
Si: 0.832 0.832 0.664
Bi: 0.500 0.500 0.000
Se: 0.164 0.164 0.834
Se: 0.500 0.500 0.500
Se: 0.836 0.836 0.166

V = 27.61 Å³/atom
E = -69.4 eV per cell
symmetry = C2/m, No. 12
energy relative to the elements, uncorrected = -1329 meV/atom

=====

Entry 4:
Compound: SrSi2BiSe
Source: Alexandria via LeMat-Bulk
Functional: PBE
Structure: optimized geometry

Lattice parameters (Å, degrees): 5.241 5.241 6.657 90.00 90.00 90.00
Fractional positions:
Sr: 0.000 0.000 0.000
Si: 0.000 0.500 0.500
Si: 0.500 0.000 0.500
Bi: 0.000 0.000 0.500
Se: 0.500 0.500 0.000

V = 36.57 Å³/atom
E = -16.7 eV per cell
symmetry = P4/mmm, No. 123
energy relative to the elements, uncorrected = 643 meV/atom

=====

Entry 5:
Compound: Tb6Si2BiSe3
Source: Alexandria via LeMat-Bulk
Functional: PBE
Structure: optimized geometry

Lattice parameters (Å, degrees): 9.368 9.368 8.433 102.45 102.45 25.84
Fractional positions:
Tb: 0.007 0.007 0.266
Tb: 0.327 0.327 0.897
Tb: 0.329 0.329 0.423
Tb: 0.671 0.671 0.577
Tb: 0.673 0.673 0.103
Tb: 0.993 0.993 0.734
Si: 0.168 0.168 0.336
Si: 0.832 0.832 0.664
Bi: 0.500 0.500 0.000
Se: 0.164 0.164 0.834
Se: 0.500 0.500 0.500
Se: 0.836 0.836 0.166

V = 26.22 Å³/atom
E = -68.8 eV per cell
symmetry = C2/m, No. 12
energy relative to the elements, uncorrected = -1316 meV/atom

=====

Entry 6:
Compound: Th6Si2BiSe3
Source: Alexandria via LeMat-Bulk
Functional: PBE
Structure: optimized geometry

Lattice parameters (Å, degrees): 9.551 9.551 8.599 101.17 101.17 26.07
Fractional positions:
Th: 0.008 0.008 0.273
Th: 0.324 0.324 0.898
Th: 0.330 0.330 0.425
Th: 0.670 0.670 0.575
Th: 0.676 0.676 0.102
Th: 0.992 0.992 0.727
Si: 0.168 0.168 0.334
Si: 0.832 0.832 0.666
Bi: 0.500 0.500 0.000
Se: 0.160 0.160 0.833
Se: 0.500 0.500 0.500
Se: 0.840 0.840 0.167

V = 28.16 Å³/atom
E = -83.1 eV per cell
symmetry = C2/m, No. 12
energy relative to the elements, uncorrected = -1121 meV/atom

=====

Entry 7:
Compound: TiSi2BiSe
Source: Alexandria via LeMat-Bulk
Functional: PBE
Structure: optimized geometry

Lattice parameters (Å, degrees): 5.247 5.247 5.416 90.00 90.00 90.00
Fractional positions:
Ti: 0.000 0.000 0.000
Si: 0.000 0.500 0.500
Si: 0.500 0.000 0.500
Bi: 0.500 0.500 0.500
Se: 0.500 0.500 0.000

V = 29.82 Å³/atom
E = -18.7 eV per cell
symmetry = P4/mmm, No. 123
energy relative to the elements, uncorrected = 1479 meV/atom

=====

Entry 8:
Compound: Tl2SiBiSe4
Source: Alexandria via LeMat-Bulk
Functional: PBE
Structure: optimized geometry

Lattice parameters (Å, degrees): 9.075 9.523 6.257 90.00 90.00 90.00
Fractional positions:
Tl: 0.230 0.150 0.000
Tl: 0.270 0.850 0.500
Tl: 0.730 0.850 0.500
Tl: 0.770 0.150 0.000
Si: 0.000 0.644 0.897
Si: 0.500 0.356 0.397
Bi: 0.000 0.349 0.493
Bi: 0.500 0.651 0.993
Se: 0.000 0.408 0.995
Se: 0.000 0.648 0.524
Se: 0.204 0.773 0.006
Se: 0.296 0.227 0.506
Se: 0.500 0.352 0.024
Se: 0.500 0.592 0.495
Se: 0.704 0.227 0.506
Se: 0.796 0.773 0.006

V = 33.79 Å³/atom
E = -61.2 eV per cell
symmetry = Pmn2_1, No. 31
energy relative to the elements, uncorrected = -327 meV/atom

=====

What is the formula in the fourth record? SrSi2BiSe

=====

Look up the energy relative to the elements, uncorrected of the seventh one. 1479 meV/atom